(1)
Entry from Alexandria: KAg2SbTe4 after structural relaxation (PBE-GGA).

Summary:
SG: I222
Crystal system: orthorhombic
Uncorrected formation energy: -0.21 eV per atom

a = 7.2766 Å, b = 7.2766 Å, c = 7.2766 Å
α = 117.94°, β = 110.64°, γ = 100.30°
Element x y z (fractional)
K 0.0000 0.0000 0.0000
Ag 0.3312 0.8312 0.5000
Ag 0.6688 0.1688 0.5000
Sb 0.5000 0.5000 0.0000
Te 0.1320 0.1178 0.5920
Te 0.4742 0.8822 0.0142
Te 0.5258 0.5400 0.4080
Te 0.8680 0.4600 0.9858

(2)
Entry from Alexandria: Sm12Dy5Th2 after structural relaxation (PBE-GGA).

Summary:
SG: C2/m
Crystal system: monoclinic
E_form: 148 meV per atom

a = 9.1625 Å, b = 9.1625 Å, c = 8.7356 Å
α = 92.07°, β = 92.07°, γ = 61.54°
Element x y z (fractional)
Sm 0.0598 0.0598 0.3393
Sm 0.0658 0.6731 0.3190
Sm 0.1722 0.5306 0.7604
Sm 0.3269 0.9342 0.6810
Sm 0.4262 0.4262 0.1214
Sm 0.4694 0.8278 0.2396
Sm 0.5306 0.1722 0.7604
Sm 0.5738 0.5738 0.8786
Sm 0.6731 0.0658 0.3190
Sm 0.8278 0.4694 0.2396
Sm 0.9342 0.3269 0.6810
Sm 0.9402 0.9402 0.6607
Dy 0.2057 0.2057 0.0356
Dy 0.2677 0.2677 0.4326
Dy 0.5000 0.5000 0.5000
Dy 0.7323 0.7323 0.5674
Dy 0.7943 0.7943 0.9644
Th 0.1669 0.8331 0.0000
Th 0.8331 0.1669 0.0000

(3)
Entry from Alexandria: TlCdAg after structural relaxation (PBE-GGA).

Summary:
E above lowest polymorph: 0.78 kJ per mole of atoms
SG: C2/m
Crystal system: monoclinic
E_form: 85 meV per atom

a = 4.7494 Å, b = 4.7494 Å, c = 7.2310 Å
α = 96.00°, β = 96.00°, γ = 64.92°
Element x y z (fractional)
Tl 0.1659 0.1659 0.3855
Tl 0.8341 0.8341 0.6145
Cd 0.4971 0.4971 0.2014
Cd 0.5029 0.5029 0.7986
Ag 0.1685 0.1685 0.9388
Ag 0.8315 0.8315 0.0612

(4)
Entry from Alexandria: Sc2RhNF after structural relaxation (PBE-GGA).

Summary:
SG: P4/mmm
Crystal system: tetragonal
Uncorrected formation energy: -0.05 eV per atom

a = 4.3745 Å, b = 4.3745 Å, c = 3.9544 Å
α = 90.00°, β = 90.00°, γ = 90.00°
Element x y z (fractional)
Sc 0.0000 0.5000 0.0000
Sc 0.5000 0.0000 0.0000
Rh 0.0000 0.0000 0.5000
N 0.5000 0.5000 0.5000
F 0.0000 0.0000 0.0000

(5)
Entry from Alexandria: TcPt3S after structural relaxation (PBE-GGA).

Summary:
E above lowest polymorph: 80.66 kJ per mole of atoms
SG: Pm-3m
Crystal system: cubic
Uncorrected formation energy: 1.53 eV per atom

a = 4.7902 Å, b = 4.7902 Å, c = 4.7902 Å
α = 90.00°, β = 90.00°, γ = 90.00°
Element x y z (fractional)
Tc 0.0000 0.0000 0.0000
Pt 0.0000 0.0000 0.5000
Pt 0.0000 0.5000 0.0000
Pt 0.5000 0.0000 0.0000
S 0.5000 0.5000 0.5000

(6)
Entry from Alexandria: SiHCl after structural relaxation (PBE-GGA).

Summary:
E above lowest polymorph: 23.74 kJ per mole of atoms
SG: P1
Crystal system: triclinic

a = 3.9044 Å, b = 5.7310 Å, c = 6.4329 Å
α = 82.26°, β = 82.09°, γ = 79.79°
Element x y z (fractional)
Si 0.0000 0.0000 0.0000
Si 0.4482 0.0289 0.6981
H 0.6799 0.8514 0.5693
H 0.7099 0.1336 0.8235
Cl 0.3117 0.3317 0.4910
Cl 0.8422 0.6578 0.0019

(7)
Entry from Alexandria: Pr2Zn3Ge4Pt after structural relaxation (PBE-GGA).

Summary:
SG: P-4m2
Crystal system: tetragonal
E_form: -541 meV per atom

a = 4.3043 Å, b = 4.3043 Å, c = 10.5858 Å
α = 90.00°, β = 90.00°, γ = 90.00°
Element x y z (fractional)
Pr 0.0000 0.5000 0.2424
Pr 0.5000 0.0000 0.7576
Zn 0.0000 0.0000 0.0000
Zn 0.0000 0.5000 0.6360
Zn 0.5000 0.0000 0.3640
Ge 0.0000 0.0000 0.5000
Ge 0.0000 0.5000 0.8669
Ge 0.5000 0.0000 0.1331
Ge 0.5000 0.5000 0.5000
Pt 0.5000 0.5000 0.0000

(8)
Entry from Alexandria: Sm6Si2HgSe3 after structural relaxation (PBE-GGA).

Summary:
SG: C2/m
Crystal system: monoclinic
Uncorrected formation energy: -1.23 eV per atom

a = 9.5354 Å, b = 9.5354 Å, c = 8.5697 Å
α = 105.61°, β = 105.61°, γ = 25.49°
Element x y z (fractional)
Sm 0.0011 0.0011 0.2665
Sm 0.3282 0.3282 0.9074
Sm 0.3293 0.3293 0.4274
Sm 0.6707 0.6707 0.5726
Sm 0.6718 0.6718 0.0926
Sm 0.9989 0.9989 0.7335
Si 0.1639 0.1639 0.3266
Si 0.8361 0.8361 0.6734
Hg 0.5000 0.5000 0.0000
Se 0.1663 0.1663 0.8303
Se 0.5000 0.5000 0.5000
Se 0.8337 0.8337 0.1697

Q: Which formula does entry 1 have?
A: KAg2SbTe4

What did the sixth record say?
Entry from Alexandria: SiHCl after structural relaxation (PBE-GGA).

Summary:
E above lowest polymorph: 23.74 kJ per mole of atoms
SG: P1
Crystal system: triclinic

a = 3.9044 Å, b = 5.7310 Å, c = 6.4329 Å
α = 82.26°, β = 82.09°, γ = 79.79°
Element x y z (fractional)
Si 0.0000 0.0000 0.0000
Si 0.4482 0.0289 0.6981
H 0.6799 0.8514 0.5693
H 0.7099 0.1336 0.8235
Cl 0.3117 0.3317 0.4910
Cl 0.8422 0.6578 0.0019

Q: Which formula does entry 2 have?
A: Sm12Dy5Th2